12
Lattice="5.487 -2.833 0.000 5.487 2.833 0.000 0.000 0.000 5.709" Properties=species:S:1:pos:R:3 comment="FeGe2 PBE-GGA optimized geometry" m_tot_mub_per_cell=2.63 rho_g_cm3=7.5 e_tot_ha_per_atom=-0.2162 pbc="T T T"
Fe 1.270 0.000 0.000
Fe 4.217 0.000 2.855
Fe 6.758 0.000 2.855
Fe 9.705 0.000 0.000
Ge 2.744 1.405 4.282
Ge 5.487 1.942 3.762
Ge 5.487 0.891 0.907
Ge 2.744 -1.405 1.427
Ge 8.231 1.405 4.282
Ge 5.487 -0.891 4.802
Ge 5.487 -1.942 1.947
Ge 8.231 -1.405 1.427

***

8
Lattice="4.288 0.000 0.000 0.000 5.886 0.000 0.000 0.000 7.742" Properties=species:S:1:pos:R:3 comment="SrZrAs2 PBE-GGA optimized geometry" de_polymorph_ev_per_atom=0.464 m_tot_mub_per_cell=0.00 rho_g_cm3=5.6 e_tot_ha_per_atom=-0.2046 pbc="T T T"
Sr 0.000 0.000 0.000
Sr 2.144 2.943 3.871
Zr 0.000 0.000 3.871
Zr 2.144 2.943 0.000
As 0.000 2.943 1.764
As 0.000 2.943 5.978
As 2.144 0.000 2.107
As 2.144 0.000 5.635